Entry 1:
Computed, not measured: crystalline TeAsO4 at its relaxed geometry at the PBE level of DFT.

```
data_TeAsO4
_chemical_formula_sum 'Te2 As2 O8'
_symmetry_space_group_name_H-M 'P 1 21/c 1'
_symmetry_Int_Tables_number 14
_symmetry_space_group_name_Hall '-P 2ybc'
_cell_length_a 5.8496
_cell_length_b 4.9114
_cell_length_c 5.8374
_cell_angle_alpha 90.00
_cell_angle_beta 111.79
_cell_angle_gamma 90.00
loop_
_atom_site_label
_atom_site_fract_x
_atom_site_fract_y
_atom_site_fract_z
Te1 0.0000 0.0000 0.0000
As1 0.5000 0.0000 0.5000
O1 0.1654 0.1788 0.3671
O2 0.3626 0.7108 0.6690
```

Calculated values
- crystal system = monoclinic
- DFT total energy (eV for the cell shown) = -65.00
- ΔE_f (raw) (eV/atom) = -0.813


Entry 2:
Computed, not measured: crystalline Te2AsO at its relaxed geometry at the PBE level of DFT.

```
data_Te2AsO
_chemical_formula_sum 'Te8 As4 O4'
_symmetry_space_group_name_H-M 'I -4 2 d'
_symmetry_Int_Tables_number 122
_symmetry_space_group_name_Hall 'I -4 2bw'
_cell_length_a 6.8624
_cell_length_b 6.8624
_cell_length_c 7.6551
_cell_angle_alpha 90.00
_cell_angle_beta 90.00
_cell_angle_gamma 90.00
loop_
_atom_site_label
_atom_site_fract_x
_atom_site_fract_y
_atom_site_fract_z
Te1 0.2024 0.7500 0.1250
As1 0.0000 0.0000 0.5000
O1 0.0000 0.0000 0.0000
```

Calculated values
- crystal system = tetragonal
- DFT total energy (eV for the cell shown) = -61.36
- ΔE_f (raw) (eV/atom) = 0.138


Entry 3:
Computed, not measured: crystalline TeAs2O at its relaxed geometry at the PBE level of DFT.

```
data_TeAs2O
_chemical_formula_sum 'Te4 As8 O4'
_symmetry_space_group_name_H-M 'I -4 2 d'
_symmetry_Int_Tables_number 122
_symmetry_space_group_name_Hall 'I -4 2bw'
_cell_length_a 5.0682
_cell_length_b 5.0682
_cell_length_c 13.7697
_cell_angle_alpha 90.00
_cell_angle_beta 90.00
_cell_angle_gamma 90.00
loop_
_atom_site_label
_atom_site_fract_x
_atom_site_fract_y
_atom_site_fract_z
Te1 0.0000 0.0000 0.0000
As1 0.0962 0.2500 0.6250
O1 0.0000 0.0000 0.5000
```

Calculated values
- crystal system = tetragonal
- DFT total energy (eV for the cell shown) = -69.44
- ΔE_f (raw) (eV/atom) = 0.010


Entry 4:
Computed, not measured: crystalline TlTeAsO6 at its relaxed geometry at the PBE level of DFT.

```
data_TlTeAsO6
_chemical_formula_sum 'Tl1 Te1 As1 O6'
_symmetry_space_group_name_H-M 'P 3 1 2'
_symmetry_Int_Tables_number 149
_symmetry_space_group_name_Hall 'P 3 2'
_cell_length_a 5.1100
_cell_length_b 5.1100
_cell_length_c 6.4417
_cell_angle_alpha 90.00
_cell_angle_beta 90.00
_cell_angle_gamma 120.00
loop_
_atom_site_label
_atom_site_fract_x
_atom_site_fract_y
_atom_site_fract_z
Tl1 0.0000 0.0000 0.0000
Te1 0.6667 0.3333 0.5000
As1 0.3333 0.6667 0.5000
O1 0.0124 0.3903 0.6689
```

Calculated values
- crystal system = trigonal
- DFT total energy (eV for the cell shown) = -49.41
- ΔE_f (raw) (eV/atom) = -1.056


Entry 5:
Computed, not measured: crystalline ThAsO at its relaxed geometry at the PBE level of DFT.

```
data_ThAsO
_chemical_formula_sum 'Th4 As4 O4'
_symmetry_space_group_name_H-M 'C 1 2/m 1'
_symmetry_Int_Tables_number 12
_symmetry_space_group_name_Hall '-C 2y'
_cell_length_a 18.3448
_cell_length_b 3.8166
_cell_length_c 5.4502
_cell_angle_alpha 90.00
_cell_angle_beta 95.23
_cell_angle_gamma 90.00
loop_
_atom_site_label
_atom_site_fract_x
_atom_site_fract_y
_atom_site_fract_z
Th1 0.1501 0.0000 0.3054
As1 0.2214 0.0000 0.8233
O1 0.0942 0.5000 0.2812
```

Calculated values
- crystal system = monoclinic
- DFT total energy (eV for the cell shown) = -91.27
- ΔE_f (raw) (eV/atom) = -1.930


Entry 6:
Computed, not measured: crystalline ThAsO6 at its relaxed geometry at the PBE level of DFT.

```
data_ThAsO6
_chemical_formula_sum 'Th3 As3 O18'
_symmetry_space_group_name_H-M 'R -3'
_symmetry_Int_Tables_number 148
_symmetry_space_group_name_Hall '-R 3'
_cell_length_a 5.8057
_cell_length_b 5.8057
_cell_length_c 14.2704
_cell_angle_alpha 90.00
_cell_angle_beta 90.00
_cell_angle_gamma 120.00
loop_
_atom_site_label
_atom_site_fract_x
_atom_site_fract_y
_atom_site_fract_z
Th1 0.0000 0.0000 0.0000
As1 0.0000 0.0000 0.5000
O1 0.0384 0.5217 0.2402
```

Calculated values
- crystal system = trigonal
- DFT total energy (eV for the cell shown) = -161.57
- ΔE_f (raw) (eV/atom) = -1.505


Entry 7:
Computed, not measured: crystalline ThAsO at its relaxed geometry at the PBE level of DFT.

```
data_ThAsO
_chemical_formula_sum 'Th4 As4 O4'
_symmetry_space_group_name_H-M 'F -4 3 m'
_symmetry_Int_Tables_number 216
_symmetry_space_group_name_Hall 'F -4 2 3'
_cell_length_a 6.4668
_cell_length_b 6.4668
_cell_length_c 6.4668
_cell_angle_alpha 90.00
_cell_angle_beta 90.00
_cell_angle_gamma 90.00
loop_
_atom_site_label
_atom_site_fract_x
_atom_site_fract_y
_atom_site_fract_z
Th1 0.0000 0.0000 0.0000
As1 0.2500 0.2500 0.7500
O1 0.2500 0.2500 0.2500
```

Calculated values
- crystal system = cubic
- DFT total energy (eV for the cell shown) = -82.89
- ΔE_f (raw) (eV/atom) = -1.231


Entry 8:
Computed, not measured: crystalline ThAsO at its relaxed geometry at the PBE level of DFT.

```
data_ThAsO
_chemical_formula_sum 'Th1 As1 O1'
_symmetry_space_group_name_H-M 'P -6 m 2'
_symmetry_Int_Tables_number 187
_symmetry_space_group_name_Hall 'P -6 2'
_cell_length_a 3.9550
_cell_length_b 3.9550
_cell_length_c 4.6233
_cell_angle_alpha 90.00
_cell_angle_beta 90.00
_cell_angle_gamma 120.00
loop_
_atom_site_label
_atom_site_fract_x
_atom_site_fract_y
_atom_site_fract_z
Th1 0.0000 0.0000 0.0000
As1 0.6667 0.3333 0.5000
O1 0.3333 0.6667 0.0000
```

Calculated values
- crystal system = hexagonal
- DFT total energy (eV for the cell shown) = -23.40
- ΔE_f (raw) (eV/atom) = -2.123


Entry 9:
Computed, not measured: crystalline ThTiAs2O at its relaxed geometry at the PBE level of DFT.

```
data_ThTiAs2O
_chemical_formula_sum 'Th2 Ti2 As4 O2'
_symmetry_space_group_name_H-M 'P 4/n m m'
_symmetry_Int_Tables_number 129
_cell_length_a 3.8525
_cell_length_b 3.8525
_cell_length_c 13.0325
_cell_angle_alpha 90.00
_cell_angle_beta 90.00
_cell_angle_gamma 90.00
loop_
_symmetry_equiv_pos_as_xyz
'x,y,z'
'-x,-y,-z'
'-y+1/2,x,z'
'y+1/2,-x,-z'
'-x+1/2,-y+1/2,z'
'x+1/2,y+1/2,-z'
'y,-x+1/2,z'
'-y,x+1/2,-z'
'x+1/2,-y,-z'
'-x+1/2,y,z'
'-y,-x,-z'
'y,x,z'
'-x,y+1/2,-z'
'x,-y+1/2,z'
'y+1/2,x+1/2,-z'
'-y+1/2,-x+1/2,z'
loop_
_atom_site_label
_atom_site_fract_x
_atom_site_fract_y
_atom_site_fract_z
Th1 0.2500 0.2500 0.1080
Ti1 0.2500 0.2500 0.5927
As1 0.2500 0.2500 0.3922
As2 0.2500 0.2500 0.7836
O1 0.2500 0.7500 0.0000
```

Calculated values
- crystal system = tetragonal
- DFT total energy (eV for the cell shown) = -76.33
- ΔE_f (raw) (eV/atom) = -1.718


Entry 10:
Computed, not measured: crystalline ThTlAs2O8 at its relaxed geometry at the PBE level of DFT.

```
data_ThTlAs2O8
_chemical_formula_sum 'Th1 Tl1 As2 O8'
_symmetry_space_group_name_H-M 'P -3'
_symmetry_Int_Tables_number 147
_symmetry_space_group_name_Hall '-P 3'
_cell_length_a 5.8387
_cell_length_b 5.8387
_cell_length_c 8.0638
_cell_angle_alpha 90.00
_cell_angle_beta 90.00
_cell_angle_gamma 120.00
loop_
_atom_site_label
_atom_site_fract_x
_atom_site_fract_y
_atom_site_fract_z
Th1 0.0000 0.0000 0.0000
Tl1 0.0000 0.0000 0.5000
As1 0.3333 0.6667 0.2506
O1 0.1370 0.3508 0.1774
O2 0.3333 0.6667 0.4637
```

Calculated values
- crystal system = trigonal
- DFT total energy (eV for the cell shown) = -79.20
- ΔE_f (raw) (eV/atom) = -1.704


Entry 11:
Computed, not measured: crystalline TiAs3O at its relaxed geometry at the PBE level of DFT.

```
data_TiAs3O
_chemical_formula_sum 'Ti1 As3 O1'
_symmetry_space_group_name_H-M 'P m -3 m'
_symmetry_Int_Tables_number 221
_symmetry_space_group_name_Hall '-P 4 2 3'
_cell_length_a 4.3381
_cell_length_b 4.3381
_cell_length_c 4.3381
_cell_angle_alpha 90.00
_cell_angle_beta 90.00
_cell_angle_gamma 90.00
loop_
_atom_site_label
_atom_site_fract_x
_atom_site_fract_y
_atom_site_fract_z
Ti1 0.0000 0.0000 0.0000
As1 0.0000 0.5000 0.5000
O1 0.5000 0.5000 0.5000
```

Calculated values
- crystal system = cubic
- DFT total energy (eV for the cell shown) = -26.96
- ΔE_f (raw) (eV/atom) = -0.032


Entry 12:
Computed, not measured: crystalline TiAs2O at its relaxed geometry at the PBE level of DFT.

```
data_TiAs2O
_chemical_formula_sum 'Ti4 As8 O4'
_symmetry_space_group_name_H-M 'I -4 2 d'
_symmetry_Int_Tables_number 122
_symmetry_space_group_name_Hall 'I -4 2bw'
_cell_length_a 6.0792
_cell_length_b 6.0792
_cell_length_c 7.1549
_cell_angle_alpha 90.00
_cell_angle_beta 90.00
_cell_angle_gamma 90.00
loop_
_atom_site_label
_atom_site_fract_x
_atom_site_fract_y
_atom_site_fract_z
Ti1 0.0000 0.0000 0.0000
As1 0.1873 0.7500 0.6250
O1 0.0000 0.0000 0.5000
```

Calculated values
- crystal system = tetragonal
- DFT total energy (eV for the cell shown) = -89.85
- ΔE_f (raw) (eV/atom) = -0.078